[1]
{"formula": "Ce3PuGa", "functional": "PBE-GGA", "state": "optimized geometry", "cell": [[5.687, 0.000, 0.000], [0.005, 6.664, 0.000], [0.005, 1.648, 6.507]], "species": ["Ce", "Ce", "Ce", "Ce", "Ce", "Ce", "Pu", "Pu", "Ga", "Ga"], "fractional_positions": [[0.000, 0.000, 0.000], [0.063, 0.500, 0.500], [0.208, 0.545, 0.891], [0.484, 0.721, 0.297], [0.579, 0.222, 0.797], [0.856, 0.045, 0.392], [0.244, 0.952, 0.693], [0.820, 0.451, 0.194], [0.355, 0.217, 0.270], [0.708, 0.718, 0.771]], "formation_energy_ev_per_atom": -0.145}

=====

[2]
{"formula": "FeCoW2", "functional": "PBE-GGA", "state": "optimized geometry", "cell": [[1.361, 0.786, 8.795], [-1.361, 0.786, 8.795], [0.000, -1.571, 8.795]], "species": ["Fe", "Co", "W", "W"], "fractional_positions": [[0.000, 0.000, 0.000], [0.261, 0.261, 0.261], [0.513, 0.513, 0.513], [0.751, 0.751, 0.751]], "formation_energy_ev_per_atom": 0.344}

=====

[3]
{"formula": "CoSn3B", "functional": "PBE-GGA", "state": "optimized geometry", "cell": [[4.861, 0.000, 0.000], [0.000, 4.861, 0.000], [0.000, 0.000, 4.861]], "species": ["Co", "Sn", "Sn", "Sn", "B"], "fractional_positions": [[0.000, 0.000, 0.000], [0.000, 0.000, 0.500], [0.000, 0.500, 0.000], [0.500, 0.000, 0.000], [0.500, 0.500, 0.500]], "formation_energy_ev_per_atom": 0.901}

=====

[4]
{"formula": "KBiOsO6", "functional": "PBE-GGA", "state": "optimized geometry", "cell": [[5.272, 0.000, 0.000], [0.000, 5.272, 0.000], [0.000, 0.000, 10.304]], "species": ["K", "K", "Bi", "Bi", "Os", "Os", "O", "O", "O", "O", "O", "O", "O", "O", "O", "O", "O", "O"], "fractional_positions": [[0.000, 0.000, 0.000], [0.500, 0.500, 0.500], [0.000, 0.000, 0.666], [0.500, 0.500, 0.166], [0.000, 0.000, 0.333], [0.500, 0.500, 0.833], [0.165, 0.165, 0.471], [0.191, 0.191, 0.211], [0.247, 0.753, 0.317], [0.253, 0.253, 0.817], [0.309, 0.691, 0.711], [0.335, 0.665, 0.971], [0.665, 0.335, 0.971], [0.691, 0.309, 0.711], [0.747, 0.747, 0.817], [0.753, 0.247, 0.317], [0.809, 0.809, 0.211], [0.835, 0.835, 0.471]], "e_form_raw_ev_per_atom": -1.07}

=====

[5]
{"formula": "Cs2Bi12Au7", "functional": "PBE-GGA", "state": "optimized geometry", "cell": [[12.367, 0.000, 0.000], [-6.183, 10.710, 0.000], [0.000, 0.000, 4.752]], "species": ["Cs", "Cs", "Bi", "Bi", "Bi", "Bi", "Bi", "Bi", "Bi", "Bi", "Bi", "Bi", "Bi", "Bi", "Au", "Au", "Au", "Au", "Au", "Au", "Au"], "fractional_positions": [[0.000, 0.000, 0.000], [0.333, 0.667, 0.500], [0.048, 0.287, 0.500], [0.109, 0.709, 0.000], [0.239, 0.952, 0.500], [0.291, 0.400, 0.000], [0.392, 0.188, 0.000], [0.553, 0.435, 0.500], [0.565, 0.118, 0.500], [0.600, 0.891, 0.000], [0.713, 0.761, 0.500], [0.797, 0.608, 0.000], [0.812, 0.203, 0.000], [0.882, 0.447, 0.500], [0.060, 0.449, 0.000], [0.275, 0.248, 0.500], [0.389, 0.940, 0.000], [0.551, 0.611, 0.000], [0.667, 0.333, 0.000], [0.752, 0.027, 0.500], [0.973, 0.725, 0.500]], "formation_energy_ev_per_atom": -0.100}

=====

[6]
{"formula": "KScPIr2", "functional": "PBE-GGA", "state": "optimized geometry", "cell": [[4.745, 0.000, 0.000], [0.000, 4.745, 0.000], [0.000, 0.000, 5.294]], "species": ["K", "Sc", "P", "Ir", "Ir"], "fractional_positions": [[0.000, 0.000, 0.000], [0.000, 0.000, 0.500], [0.500, 0.500, 0.000], [0.000, 0.500, 0.500], [0.500, 0.000, 0.500]], "formation_energy_ev_per_atom": 1.361}

=====

[7]
{"formula": "Sr2CrW", "functional": "PBE-GGA", "state": "optimized geometry", "cell": [[3.297, -5.013, 0.000], [3.297, 5.013, 0.000], [-0.013, 0.000, 3.187]], "species": ["Sr", "Sr", "Cr", "W"], "fractional_positions": [[0.000, 0.500, 0.000], [0.500, 0.000, 0.000], [0.000, 0.000, 0.500], [0.500, 0.500, 0.500]], "formation_energy_ev_per_atom": 1.363}

=====

[8]
{"formula": "Tl3VW", "functional": "PBE-GGA", "state": "optimized geometry", "cell": [[5.367, 0.000, 0.000], [0.000, 5.367, 0.000], [0.000, 0.000, 5.367]], "species": ["Tl", "Tl", "Tl", "V", "W"], "fractional_positions": [[0.000, 0.000, 0.500], [0.000, 0.500, 0.000], [0.500, 0.000, 0.000], [0.500, 0.500, 0.500], [0.000, 0.000, 0.000]], "formation_energy_ev_per_atom": 1.357}

=====

Please write out number 2 again, unchanged.
{"formula": "FeCoW2", "functional": "PBE-GGA", "state": "optimized geometry", "cell": [[1.361, 0.786, 8.795], [-1.361, 0.786, 8.795], [0.000, -1.571, 8.795]], "species": ["Fe", "Co", "W", "W"], "fractional_positions": [[0.000, 0.000, 0.000], [0.261, 0.261, 0.261], [0.513, 0.513, 0.513], [0.751, 0.751, 0.751]], "formation_energy_ev_per_atom": 0.344}

=====

Repeat the seventh record exactly.
{"formula": "Sr2CrW", "functional": "PBE-GGA", "state": "optimized geometry", "cell": [[3.297, -5.013, 0.000], [3.297, 5.013, 0.000], [-0.013, 0.000, 3.187]], "species": ["Sr", "Sr", "Cr", "W"], "fractional_positions": [[0.000, 0.500, 0.000], [0.500, 0.000, 0.000], [0.000, 0.000, 0.500], [0.500, 0.500, 0.500]], "formation_energy_ev_per_atom": 1.363}